# Nd8AlAg2

A geometry-optimized Nd8AlAg2 structure (PBE, the Alexandria database).

## Properties
Formation enthalpy at 0 K: -124 meV/atom
Magnetic moment: 0.0 μB per formula unit

a = 16.5341 Å, b = 5.4246 Å, c = 8.6440 Å
α = 90.00°, β = 120.55°, γ = 90.00°
Space group C2/m (No. 12)
One atom of each set of equivalent atoms:
Nd: 0.0717 0.0000 0.2214 (multiplicity 4)
Nd: 0.0946 0.5000 0.9462 (multiplicity 4)
Nd: 0.1349 0.0000 0.6904 (multiplicity 4)
Nd: 0.1807 0.5000 0.4614 (multiplicity 4)
Al: 0.0000 0.5000 0.5000 (multiplicity 2)
Ag: 0.2269 0.0000 0.1138 (multiplicity 4)